1.
# Th2SbC2 (PBE, optimized geometry)
data_Th2SbC2
_chemical_formula_sum 'Th8 Sb4 C8'
_space_group_name_H-M_alt 'C 1 2/c 1'
_space_group_IT_number 15
_cell_length_a 14.773
_cell_length_b 4.426
_cell_length_c 6.881
_cell_angle_alpha 90.00
_cell_angle_beta 99.89
_cell_angle_gamma 90.00
loop_
_space_group_symop_operation_xyz
'x,y,z'
'-x,-y,-z'
'-x,y,-z+1/2'
'x,-y,z+1/2'
'x+1/2,y+1/2,z'
'-x+1/2,-y+1/2,-z'
'-x+1/2,y+1/2,-z+1/2'
'x+1/2,-y+1/2,z+1/2'
loop_
_atom_site_label
_atom_site_type_symbol
_atom_site_fract_x
_atom_site_fract_y
_atom_site_fract_z
_atom_site_occupancy
Th1 Th 0.148 0.226 0.160 1
Sb1 Sb 0.000 0.278 0.750 1
C1 C 0.226 0.370 0.529 1
# - ΔE_f (raw): -0.558 eV/atom
# - Crystal system: monoclinic
# - Size of the total moment: 0.00 μB per formula unit

2.
# CsBeTe2 (PBE, optimized geometry)
data_CsBeTe2
_chemical_formula_sum 'Cs4 Be4 Te8'
_space_group_name_H-M_alt 'F m -3 m'
_space_group_IT_number 225
_space_group_name_Hall '-F 4 2 3'
_cell_length_a 7.959
_cell_length_b 7.959
_cell_length_c 7.959
_cell_angle_alpha 90.00
_cell_angle_beta 90.00
_cell_angle_gamma 90.00
loop_
_atom_site_label
_atom_site_type_symbol
_atom_site_fract_x
_atom_site_fract_y
_atom_site_fract_z
_atom_site_occupancy
Cs1 Cs 0.000 0.000 0.000 1
Be1 Be 0.000 0.000 0.500 1
Te1 Te 0.250 0.250 0.250 1
# - Energy above the lowest structure with this stoichiometry: 978 meV per atom
# - ΔE_f (raw): 0.528 eV/atom
# - Crystal system: cubic
# - Size of the total moment: 0.00 μB per formula unit

3.
# SiAs2Cl (PBE, optimized geometry)
data_SiAs2Cl
_chemical_formula_sum 'Si2 As4 Cl2'
_space_group_name_H-M_alt 'I m m m'
_space_group_IT_number 71
_space_group_name_Hall '-I 2 2'
_cell_length_a 3.270
_cell_length_b 4.691
_cell_length_c 10.165
_cell_angle_alpha 90.00
_cell_angle_beta 90.00
_cell_angle_gamma 90.00
loop_
_atom_site_label
_atom_site_type_symbol
_atom_site_fract_x
_atom_site_fract_y
_atom_site_fract_z
_atom_site_occupancy
Si1 Si 0.000 0.000 0.000 1
As1 As 0.000 0.500 0.297 1
Cl1 Cl 0.000 0.000 0.500 1
# - Energy above the lowest structure with this stoichiometry: 342 meV per atom
# - ΔE_f (raw): 0.289 eV/atom
# - Crystal system: orthorhombic
# - Size of the total moment: 0.00 μB per formula unit

4.
# YGa6Pt (PBE, optimized geometry)
data_YGa6Pt
_chemical_formula_sum 'Y1 Ga6 Pt1'
_space_group_name_H-M_alt 'P 4/m m m'
_space_group_IT_number 123
_space_group_name_Hall '-P 4 2'
_cell_length_a 4.254
_cell_length_b 4.254
_cell_length_c 8.386
_cell_angle_alpha 90.00
_cell_angle_beta 90.00
_cell_angle_gamma 90.00
loop_
_atom_site_label
_atom_site_type_symbol
_atom_site_fract_x
_atom_site_fract_y
_atom_site_fract_z
_atom_site_occupancy
Y1 Y 0.000 0.000 0.000 1
Ga1 Ga 0.000 0.500 0.326 1
Ga2 Ga 0.500 0.500 0.143 1
Pt1 Pt 0.000 0.000 0.500 1
# - Energy relative to the elements: -0.47 eV per atom
# - Crystal system: tetragonal
# - Size of the total moment: 0.00 μB per formula unit